1.
LaH2Ru, relaxed, DFT PBE; space-group type = No. 225; ΔE to the lowest computed polymorph = 425.0 meV/atom; energy = -5.061 eV per atom; theoretical density = 7.80 g/cm³
1.0
-1.8075 1.8913 3.2562
-3.9628 1.2922 -0.2712
-2.9890 -1.9621 2.1595
H La Ru
2 1 1
Direct
0.7500 0.7500 0.7500
0.2500 0.2500 0.2500
0.5000 0.5000 0.5000
0.0000 0.0000 0.0000

2.
La3HRu, relaxed, DFT PBE; space-group type = No. 221; ΔE to the lowest computed polymorph = 342.7 meV/atom; energy = -5.413 eV per atom; theoretical density = 7.42 g/cm³
1.0
4.8788 0.0000 0.0000
0.0000 4.8788 0.0000
0.0000 0.0000 4.8788
La H Ru
3 1 1
Direct
0.5000 0.0000 0.0000
0.0000 0.0000 0.5000
0.0000 0.5000 0.0000
0.0000 0.0000 0.0000
0.5000 0.5000 0.5000

3.
LaH4Ru, relaxed, DFT PBE; space-group type = No. 12; energy = -4.964 eV per atom; theoretical density = 6.88 g/cm³
1.0
3.5299 -0.0039 0.0052
0.0038 3.5297 -0.0035
-0.0126 0.0042 4.7278
Ru H La
1 4 1
Direct
0.0000 0.5000 0.5000
0.9992 0.4988 0.8526
0.0008 0.5012 0.1474
0.5000 0.5000 0.5000
0.0000 0.0000 0.5000
0.5000 0.0000 0.0000

4.
La2Sb2H4Ru, relaxed, DFT PBE; space-group type = No. 139; energy = -4.857 eV per atom; theoretical density = 6.51 g/cm³
1.0
6.0187 -0.2161 -0.3410
-2.6155 5.4250 0.3410
-2.6155 -2.0073 5.0515
H La Ru Sb
4 2 1 2
Direct
0.3940 0.1970 0.1970
0.0000 0.8030 0.1970
0.6060 0.8030 0.8030
0.0000 0.1970 0.8030
0.5000 0.7500 0.2500
0.5000 0.2500 0.7500
0.0000 0.0000 0.0000
0.0000 0.3235 0.3235
0.0000 0.6765 0.6765

5.
LaSnH8Ru2, relaxed, DFT PBE; space-group type = No. 12; energy = -4.711 eV per atom; theoretical density = 6.98 g/cm³
1.0
4.4089 0.0000 0.0000
2.2044 4.1841 0.0949
2.2044 1.6625 6.0686
H La Ru Sn
8 1 2 1
Direct
0.4425 0.9433 0.6757
0.9146 0.4926 0.6782
0.9385 0.9433 0.6757
0.0854 0.5074 0.3218
0.3076 0.5119 0.8729
0.6924 0.4881 0.1271
0.5575 0.0567 0.3243
0.0615 0.0567 0.3243
0.5000 0.5000 0.5000
0.7082 0.7207 0.8628
0.2918 0.2793 0.1372
0.0000 0.0000 0.0000

6.
La2TeHRu, relaxed, DFT PBE; space-group type = No. 123; energy = -4.602 eV per atom; theoretical density = 4.90 g/cm³
1.0
6.0023 0.0000 0.0000
0.0000 4.7771 0.0000
0.0000 0.0000 6.0023
La Te Ru H
2 1 1 1
Direct
0.0000 0.0000 0.5000
0.5000 0.0000 0.0000
0.0000 0.0000 0.0000
0.0000 0.5000 0.0000
0.5000 0.5000 0.5000

7.
La2TlHRu, relaxed, DFT PBE; space-group type = No. 123; energy = -5.252 eV per atom; theoretical density = 8.82 g/cm³
1.0
-2.7529 3.7601 2.6421
-1.3917 -3.6174 3.6980
3.1328 0.8683 2.0284
Ru Tl H La
1 1 1 2
Direct
0.0000 0.0000 0.5000
0.5000 0.5000 0.5000
0.0000 0.0000 0.0000
0.0000 0.5000 0.0000
0.5000 0.0000 0.0000

8.
LaZnH2Ru, relaxed, DFT PBE; space-group type = No. 123; energy = -4.213 eV per atom; theoretical density = 6.87 g/cm³
1.0
3.7958 0.0000 0.0000
0.0000 5.1582 0.0000
0.0000 0.0000 3.7958
H Ru La Zn
2 1 1 1
Direct
0.0000 0.0000 0.5000
0.5000 0.0000 0.0000
0.0000 0.5000 0.0000
0.5000 0.5000 0.5000
0.0000 0.0000 0.0000

> Look up the theoretical density of the sixth one.

4.90 g/cm³